a:
PBE-GGA Tb2Sm2Ir3, optimized geometry; calculated volume = 23.5 A^3/atom; density = 12.1 g cm⁻³
1.0
4.671 0.000 -1.304
-2.517 4.149 -0.002
-0.131 -0.079 8.548
Ir Tb Sm
3 2 2
Cartesian
0.407 3.091 1.457 Ir
1.616 0.979 5.785 Ir
0.000 0.000 0.000 Ir
-0.519 2.524 7.156 Tb
2.541 1.546 0.085 Tb
0.802 0.488 2.872 Sm
1.221 3.582 4.369 Sm

=====

b:
PBE-GGA Tb2Sm2Ir3, optimized geometry; calculated volume = 26.1 A^3/atom; density = 10.9 g cm⁻³
1.0
4.491 -0.006 0.004
-2.241 5.509 -0.196
0.001 -1.007 7.428
Ir Tb Sm
3 2 2
Cartesian
0.004 1.362 5.380 Ir
2.247 3.135 1.856 Ir
0.000 0.000 0.000 Ir
0.003 3.907 0.361 Tb
2.248 0.590 6.875 Tb
2.252 3.355 4.647 Sm
-0.002 1.141 2.588 Sm

=====

Stability ranking, top and bottom: a is the most stable and b is the least stable.